Record 1
Compound: TaCdRe
Source: Alexandria
Functional: PBE
Structure: optimized geometry

Cell: 3.3646 3.3646 9.5569 Å, 90.00 90.00 90.00°
Closest atoms and distances in Å follow each position.
Space group I4mm (No. 107)
Inequivalent atoms, fractional coordinates:
Ta1 0.0000 0.0000 0.0000 x2  4 Re 2.67, 1 Cd 2.96
Cd1 0.0000 0.0000 0.3101 x2  5 Re 2.96-3.02, 5 Ta 2.96-2.99
Re1 0.0000 0.0000 0.6262 x2  4 Ta 2.67, 4 Cd 2.96

Results
Energy relative to the lowest polymorph listed for this composition, meV per atom: 0
Size of the total moment, μB per formula unit: 0.0
Energy of formation from the pure elements, eV/atom: 0.2103

---

Record 2
Compound: LaY
Source: Alexandria
Functional: PBE
Structure: optimized geometry

Cell: 10.0461 10.0461 10.0461 Å, 90.00 90.00 90.00°
Closest atoms and distances in Å follow each position.
Space group I-43m (No. 217)
Inequivalent atoms, fractional coordinates:
La1 0.2084 0.2084 0.7916 x8  1 Y 3.12
Y1 0.1124 0.1124 0.1124 x8  1 La 3.12, 3 Y 3.19

Results
Energy relative to the lowest polymorph listed for this composition, meV per atom: 1357
Size of the total moment, μB per formula unit: 1.7
Energy of formation from the pure elements, eV/atom: 1.3610

---

Record 3
Compound: NdThGe
Source: Alexandria
Functional: PBE
Structure: optimized geometry

Cell: 4.7362 4.7362 4.4993 Å, 90.00 90.00 120.00°
Closest atoms and distances in Å follow each position.
Space group P3m1 (No. 156)
Inequivalent atoms, fractional coordinates:
Nd1 0.0000 0.0000 0.0000 x1  3 Ge 2.98
Th1 0.3333 0.6667 0.4621 x1  3 Ge 3.00
Ge1 0.6667 0.3333 0.7382 x1  3 Nd 2.98, 3 Th 3.00

Results
Energy relative to the lowest polymorph listed for this composition, meV per atom: 114
Size of the total moment, μB per formula unit: 0.0
Energy of formation from the pure elements, eV/atom: -0.1854

---

Record 4
Compound: TlSnI2O
Source: Alexandria
Functional: PBE
Structure: optimized geometry

Cell: 6.3186 6.3186 4.1071 Å, 90.00 90.00 90.00°
Closest atoms and distances in Å follow each position.
Space group P4/mmm (No. 123)
Inequivalent atoms, fractional coordinates:
Tl1 0.0000 0.0000 0.0000 x1  8 I 3.77, 2 Tl 4.11
Sn1 0.5000 0.5000 0.5000 x1  2 O 2.05
I1 0.0000 0.5000 0.5000 x2  2 Sn 3.16
O1 0.5000 0.5000 0.0000 x1  2 Sn 2.05

Results
Energy relative to the lowest polymorph listed for this composition, meV per atom: 0
Size of the total moment, μB per formula unit: 0.0
ΔE_f (raw), eV/atom: -0.61

---

Record 5
Compound: Pm2NdAg
Source: Alexandria
Functional: PBE
Structure: optimized geometry

Cell: 5.6489 5.6489 3.6934 Å, 90.00 90.00 90.00°
Closest atoms and distances in Å follow each position.
Space group P4/mmm (No. 123)
Inequivalent atoms, fractional coordinates:
Pm1 0.0000 0.5000 0.0000 x2  4 Nd 3.37, 4 Ag 3.37, 2 Pm 3.69
Nd1 0.0000 0.0000 0.5000 x1  8 Pm 3.37, 2 Nd 3.69
Ag1 0.5000 0.5000 0.5000 x1  8 Pm 3.37, 2 Ag 3.69

Results
Energy relative to the lowest polymorph listed for this composition, meV per atom: 116
Size of the total moment, μB per formula unit: 0.0
Energy of formation from the pure elements, eV/atom: -0.0003

---

Record 6
Compound: Pa3MnSe6
Source: Alexandria
Functional: PBE
Structure: optimized geometry

Cell: 11.2400 13.5621 6.7255 Å, 90.00 90.00 90.00°
Closest atoms and distances in Å follow each position.
Space group Cmc2_1 (No. 36)
Inequivalent atoms, fractional coordinates:
Pa1 0.0000 0.1074 0.0000 x4  7 Se 2.87-3.01
Pa2 0.1685 0.3989 0.0969 x8  7 Se 2.88-2.95
Mn1 0.0000 0.2943 0.6804 x4  4 Se 2.48-2.57
Se1 0.0000 0.2714 0.3014 x4  1 Mn 2.57
Se2 0.0000 0.4677 0.7966 x4  1 Mn 2.48
Se3 0.1639 0.0336 0.2982 x8  4 Pa 2.90-2.98
Se4 0.1837 0.2303 0.8374 x8  1 Mn 2.48

Results
Size of the total moment, μB per formula unit: 0.3
ΔE_f (raw), eV/atom: -1.14

---

Record 7
Compound: YHoSc
Source: Alexandria
Functional: PBE
Structure: optimized geometry

Cell: 3.4337 19.7096 5.2081 Å, 90.00 90.00 90.00°
Closest atoms and distances in Å follow each position.
Space group Cmcm (No. 63)
Inequivalent atoms, fractional coordinates:
Y1 0.0000 0.1112 0.2500 x4  6 Sc 3.42-3.43, 2 Y 3.43, 5 Ho 3.61-3.63
Ho1 0.0000 0.2944 0.2500 x4  1 Sc 3.28, 6 Ho 3.43-3.58, 5 Y 3.61-3.63
Sc1 0.0000 0.4609 0.2500 x4  2 Sc 3.03, 1 Ho 3.28

Results
Energy relative to the lowest polymorph listed for this composition, meV per atom: 0
Size of the total moment, μB per formula unit: 0.0
Energy of formation from the pure elements, eV/atom: 0.0396

---

Record 8
Compound: AgPdN2F
Source: Alexandria
Functional: PBE
Structure: optimized geometry

Cell: 4.0644 4.0644 4.4359 Å, 90.00 90.00 90.00°
Closest atoms and distances in Å follow each position.
Space group P4/mmm (No. 123)
Inequivalent atoms, fractional coordinates:
Ag1 0.0000 0.0000 0.0000 x1  4 N 2.03, 2 F 2.22
Pd1 0.5000 0.5000 0.5000 x1  4 F 2.87, 8 N 3.01
N1 0.0000 0.5000 0.0000 x2  2 Ag 2.03
F1 0.0000 0.0000 0.5000 x1  2 Ag 2.22

Results
Energy relative to the lowest polymorph listed for this composition, meV per atom: 573
Size of the total moment, μB per formula unit: 4.1
ΔE_f (raw), eV/atom: 1.59

---

Record 9
Compound: CoBr
Source: Alexandria
Functional: PBE
Structure: optimized geometry

Cell: 9.4221 9.4221 3.8516 Å, 90.00 90.00 120.00°
Closest atoms and distances in Å follow each position.
Space group P6_3/m (No. 176)
Inequivalent atoms, fractional coordinates:
Co1 0.0276 0.4484 0.2500 x6  2 Co 2.33, 4 Br 2.41-2.54
Br1 0.1301 0.7400 0.2500 x6  4 Co 2.41-2.54

Results
Energy relative to the lowest polymorph listed for this composition, meV per atom: 229
Size of the total moment, μB per formula unit: 2.0
ΔE_f (raw), eV/atom: 0.11

---

Record 10
Compound: BiIrS2
Source: Alexandria
Functional: PBE
Structure: optimized geometry

Cell: 5.2551 5.2551 11.8138 Å, 90.00 90.00 90.00°
Closest atoms and distances in Å follow each position.
Space group I4_1/amd (No. 141, origin choice 2)
Inequivalent atoms, fractional coordinates:
Bi1 0.0000 0.2500 0.3750 x4  4 S 2.70
Ir1 0.0000 0.2500 0.8750 x4  2 S 2.34
S1 0.0000 0.2500 0.0732 x8  1 Ir 2.34

Results
Size of the total moment, μB per formula unit: 0.0
ΔE_f (raw), eV/atom: 0.18

---

Record 11
Compound: Pu2Si3PdPt4
Source: Alexandria
Functional: PBE
Structure: optimized geometry

Cell: 4.0245 4.0245 11.1019 Å, 90.00 90.00 90.00°
Closest atoms and distances in Å follow each position.
Space group P-4m2 (No. 115)
Inequivalent atoms, fractional coordinates:
Pu1 0.0000 0.5000 0.2444 x2  4 Pt 2.99, 4 Si 3.18
Si1 0.0000 0.0000 0.0000 x1  4 Pt 2.70, 4 Pd 2.85
Si2 0.0000 0.5000 0.6277 x2  5 Pt 2.34-2.46
Pd1 0.5000 0.5000 0.0000 x1  4 Pt 2.70, 4 Si 2.85
Pt1 0.0000 0.0000 0.5000 x1  4 Si 2.46
Pt2 0.0000 0.5000 0.8385 x2  1 Si 2.34
Pt3 0.5000 0.5000 0.5000 x1  4 Si 2.46

Results
Size of the total moment, μB per formula unit: 10.5
ΔE_f (raw), eV/atom: -0.79

---

Record 12
Compound: Tl5Hg4Bi2
Source: Alexandria
Functional: PBE
Structure: optimized geometry

Cell: 3.5779 10.3105 19.2764 Å, 90.00 90.00 90.00°
Closest atoms and distances in Å follow each position.
Space group Immm (No. 71)
Inequivalent atoms, fractional coordinates:
Tl1 0.0000 0.0000 0.0000 x2  4 Hg 3.27, 2 Tl 3.58
Tl2 0.0000 0.1694 0.3155 x8  3 Hg 3.26-3.62, 3 Bi 3.41-3.49, 5 Tl 3.49-3.58
Hg1 0.0000 0.2346 0.5000 x4  4 Tl 3.27-3.62, 6 Hg 3.35-3.58
Hg2 0.0000 0.5000 0.0761 x4  1 Hg 2.93, 4 Tl 3.26
Bi1 0.0000 0.5000 0.3111 x4  6 Tl 3.41-3.49, 2 Bi 3.58

Results
Energy relative to the lowest polymorph listed for this composition, meV per atom: 11
Size of the total moment, μB per formula unit: 0.0
Energy of formation from the pure elements, eV/atom: 0.0341